First-principles (PBE-GGA) data for crystalline VSeS3 at its relaxed geometry, as listed in Alexandria via LeMat-Bulk.

Summary:
formation energy from raw total energies = 0.747 eV/atom
excess energy over the best structure of this formula in the dataset = 586 meV per atom
crystal system = cubic

Structure (POSCAR):
```
VSeS3
1.0
4.7349 0.0000 0.0000
0.0000 4.7349 0.0000
0.0000 0.0000 4.7349
V Se S
1 1 3
Direct
0.0000 0.0000 0.0000
0.5000 0.5000 0.5000
0.0000 0.5000 0.5000
0.5000 0.0000 0.5000
0.5000 0.5000 0.0000
```